Entry 1:
VASP calculation (PBE-GGA) on a geometry-optimized Pa4HgBi5 structure.

abc: 4.328 4.328 20.800
angles: 84.03 84.03 60.00
Last column: magnetic moment on the atom in μB.
Positions (direct):
Pa (0.905, 0.905, 0.286)  0.11
Pa (0.302, 0.302, 0.095)  1.05
Pa (0.698, 0.698, 0.905)  1.05
Pa (0.095, 0.095, 0.714)  0.11
Hg (0.500, 0.500, 0.500)  0.00
Bi (0.397, 0.397, 0.809)  -0.02
Bi (0.000, 0.000, 0.000)  -0.03
Bi (0.603, 0.603, 0.191)  -0.02
Bi (0.792, 0.792, 0.623)  0.00
Bi (0.208, 0.208, 0.377)  0.00

energy relative to the elements = 0.05 eV per atom
ρ = 10.75 g cm⁻³
symmetry = R-3m, No. 166
energy = -5.715 eV per atom

Entry 2:
VASP calculation (PBE-GGA) on a geometry-optimized YSBr structure.

abc: 7.110 7.110 8.565
angles: 119.44 119.44 79.39
Positions (direct):
S (0.636, 0.636, 0.271)
S (0.364, 0.364, 0.729)
S (0.614, 0.114, 0.229)
S (0.886, 0.386, 0.771)
Y (0.939, 0.439, 0.500)
Y (0.689, 0.689, 0.000)
Y (0.561, 0.061, 0.500)
Y (0.311, 0.311, 0.000)
Br (0.125, 0.375, 0.250)
Br (0.125, 0.875, 0.750)
Br (0.125, 0.875, 0.250)
Br (0.625, 0.875, 0.750)

raw formation energy = -1904 meV per atom
ρ = 4.07 g cm⁻³
symmetry = Fddd, No. 70
energy = -5.992 eV per atom